Record 1
# Na4MoRh3S8 (GGA-PBE, optimized geometry)
data_Na4MoRh3S8
_chemical_formula_sum 'Na4 Mo1 Rh3 S8'
_symmetry_space_group_name_H-M 'P 1'
_symmetry_Int_Tables_number 1
_cell_length_a 7.3122
_cell_length_b 7.6303
_cell_length_c 7.3129
_cell_angle_alpha 118.67
_cell_angle_beta 120.00
_cell_angle_gamma 90.00
loop_
_symmetry_equiv_pos_as_xyz
'x,y,z'
loop_
_atom_site_label
_atom_site_fract_x
_atom_site_fract_y
_atom_site_fract_z
Na1 0.5000 0.0000 0.0000
Na2 0.5000 0.0000 0.5000
Na3 0.0000 0.0000 0.0000
Na4 0.0000 0.0000 0.5000
Mo1 0.0000 0.5000 0.0000
Rh1 0.5000 0.5000 0.0000
Rh2 0.5000 0.5000 0.5000
Rh3 0.0000 0.5000 0.5000
S1 0.2369 0.6967 0.9601
S2 0.2369 0.6967 0.4738
S3 0.2711 0.3136 0.5422
S4 0.7231 0.6967 0.9601
S5 0.2769 0.3033 0.0399
S6 0.7289 0.6864 0.4578
S7 0.7631 0.3033 0.5262
S8 0.7631 0.3033 0.0399
# Fermi-level density of states = 1.8 states/eV/cell
# E_form (uncorrected) = -715.4 meV per atom
# Uncorrected energy = -5.164 eV/atom
# Space group = R-3m (166)
# Total magnetic moment = 2.94 μB/f.u.

=====

Record 2
# PmThPd3 (GGA-PBE, optimized geometry)
data_PmThPd3
_chemical_formula_sum 'Pm4 Th4 Pd12'
_symmetry_space_group_name_H-M 'P 1'
_symmetry_Int_Tables_number 1
_cell_length_a 5.6970
_cell_length_b 9.6980
_cell_length_c 8.3648
_cell_angle_alpha 104.99
_cell_angle_beta 90.00
_cell_angle_gamma 90.00
loop_
_symmetry_equiv_pos_as_xyz
'x,y,z'
loop_
_atom_site_label
_atom_site_fract_x
_atom_site_fract_y
_atom_site_fract_z
Pm1 0.7498 0.5401 0.3940
Pm2 0.2502 0.4599 0.6060
Pm3 0.2498 0.9599 0.1060
Pm4 0.7502 0.0401 0.8940
Th1 0.2502 0.3217 0.9649
Th2 0.7498 0.6783 0.0351
Th3 0.7502 0.1783 0.5351
Th4 0.2498 0.8217 0.4649
Pd1 0.0000 0.2501 0.2501
Pd2 0.0000 0.7499 0.7499
Pd3 0.5000 0.2499 0.2499
Pd4 0.5000 0.7501 0.7501
Pd5 0.2497 0.5348 0.2730
Pd6 0.7503 0.4652 0.7270
Pd7 0.7497 0.9652 0.2270
Pd8 0.2503 0.0348 0.7730
Pd9 0.7499 0.8593 0.5103
Pd10 0.2501 0.1407 0.4897
Pd11 0.2499 0.6407 0.9897
Pd12 0.7501 0.3593 0.0103
# Fermi-level density of states = 12.9 states/eV/cell
# Uncorrected energy = -6.301 eV/atom
# Formation energy = -0.75 eV/atom
# Space group = P2_1/m (11)
# Total magnetic moment = 0.00 μB/f.u.

=====

Record 3
# EuZnSb (GGA-PBE, optimized geometry)
data_EuZnSb
_chemical_formula_sum 'Eu1 Zn1 Sb1'
_symmetry_space_group_name_H-M 'P 1'
_symmetry_Int_Tables_number 1
_cell_length_a 3.5135
_cell_length_b 3.5135
_cell_length_c 8.3432
_cell_angle_alpha 102.16
_cell_angle_beta 102.16
_cell_angle_gamma 90.00
loop_
_symmetry_equiv_pos_as_xyz
'x,y,z'
loop_
_atom_site_label
_atom_site_fract_x
_atom_site_fract_y
_atom_site_fract_z
Eu1 0.1362 0.1362 0.2725
Sb1 0.7698 0.7698 0.5397
Zn1 0.9439 0.9439 0.8879
# Fermi-level density of states = 5.8 states/eV/cell
# E_form (uncorrected) = -39.4 meV per atom
# Uncorrected energy = -5.263 eV/atom
# Space group = I4mm (107)
# Total magnetic moment = 7.36 μB/f.u.

=====

Record 4
# Ca3VCu (GGA-PBE, optimized geometry)
data_Ca3VCu
_chemical_formula_sum 'Ca3 V1 Cu1'
_symmetry_space_group_name_H-M 'P 1'
_symmetry_Int_Tables_number 1
_cell_length_a 5.7374
_cell_length_b 5.7374
_cell_length_c 5.7374
_cell_angle_alpha 90.00
_cell_angle_beta 90.00
_cell_angle_gamma 90.00
loop_
_symmetry_equiv_pos_as_xyz
'x,y,z'
loop_
_atom_site_label
_atom_site_fract_x
_atom_site_fract_y
_atom_site_fract_z
Ca1 0.0000 0.5000 0.0000
Ca2 0.0000 0.0000 0.5000
Ca3 0.5000 0.0000 0.0000
Cu1 0.5000 0.5000 0.5000
V1 0.0000 0.0000 0.0000
# Fermi-level density of states = 4.4 states/eV/cell
# Polymorph energy (0 for the lowest one) = 0.389 eV per atom
# Uncorrected energy = -2.928 eV/atom
# Formation energy = 0.92 eV/atom
# Space group = Pm-3m (221)
# Total magnetic moment = 5.46 μB/f.u.

=====

Question: Among the records above, which one has the highest uncorrected energy?
Answer: Ca3VCu